Entry from Alexandria via LeMat-Bulk: an optimized crystal structure of KPaCO5 (GGA-PBE).

The structure belongs to space group C2/c (No. 15); the cell edges are 6.962, 9.083 and 7.957 Å and the angles 90.00°, 115.88° and 90.00°. The inequivalent atoms are K at (0.000, 0.094, 0.250), Pa at (0.250, 0.250, 0.000), C at (0.000, 0.439, 0.250), O at (0.000, 0.178, 0.750), O at (0.052, 0.349, 0.131) and O at (0.179, 0.469, 0.858).

As for the density: 5.31 g/cm³. Its uncorrected formation energy is -217 kJ per mole of atoms. The calculation puts the total energy at -250.5 eV per cell. Its crystal system is monoclinic.